No. 1
A plane-wave DFT calculation with PBE was carried out for a geometry-optimized NaP3H6 structure.

The structure belongs to space group R3m (No. 160, hexagonal axes); the cell edges are 13.8877, 13.8877 and 2.1859 Å and the angles 90.00°, 90.00° and 120.00°. Symmetry generates all atoms from Na at (0.0000, 0.0000, 0.0000), P at (0.1850, 0.3701, 0.1701), H at (0.0860, 0.5430, 0.8368) and H at (0.1667, 0.0833, 0.5035).

The calculation puts the total energy at -3.408 eV per atom.

=====

No. 2
A plane-wave DFT calculation with PBE was carried out for a geometry-optimized ScTcCl2 structure.

The structure belongs to space group R-3m (No. 166, hexagonal axes); the cell edges are 3.2678, 3.2678 and 30.3253 Å and the angles 90.00°, 90.00° and 120.00°. Symmetry generates all atoms from Sc at (0.0000, 0.0000, 0.0000), Tc at (0.0000, 0.0000, 0.5000) and Cl at (0.0000, 0.0000, 0.2773).

The energy above the most stable polymorph in this dataset comes out at 0.432 eV/atom. The calculation puts the total energy at -5.372 eV per atom. The formation energy (no corrections) comes out at -26.4 kJ/mol of atoms.

=====

No. 3
A plane-wave DFT calculation with PBE was carried out for a geometry-optimized Ho2GeB2Ru5 structure.

The structure belongs to space group P4/mbm (No. 127); the cell edges are 9.548, 9.548 and 3.102 Å and the angles 90.00°, 90.00° and 90.00°. Symmetry generates all atoms from Ho at (0.176, 0.324, 0.000), Ge at (0.000, 0.000, 0.000), B at (0.123, 0.623, 0.000), Ru at (0.000, 0.500, 0.500) and Ru at (0.068, 0.784, 0.500).

The calculation puts the total energy at -7.863 eV per atom.

=====

No. 4
A plane-wave DFT calculation with PBE was carried out for a geometry-optimized LiW2N structure.

The structure belongs to space group I-42d (No. 122); the cell edges are 5.037, 5.037 and 11.165 Å and the angles 90.00°, 90.00° and 90.00°. Symmetry generates all atoms from Li at (0.000, 0.000, 0.000), W at (0.104, 0.250, 0.625) and N at (0.000, 0.000, 0.500).

The calculation puts the total energy at -8.059 eV per atom. The formation energy (no corrections) comes out at 94.3 kJ/mol of atoms.

=====

No. 5
A plane-wave DFT calculation with PBE was carried out for a geometry-optimized Dy2MgAl3Pt4 structure.

The structure belongs to space group P-4m2 (No. 115); the cell edges are 4.098, 4.098 and 11.196 Å and the angles 90.00°, 90.00° and 90.00°. Symmetry generates all atoms from Dy at (0.000, 0.500, 0.246), Mg at (0.000, 0.000, 0.500), Al at (0.000, 0.500, 0.871), Al at (0.500, 0.500, 0.500), Pt at (0.000, 0.000, 0.000), Pt at (0.000, 0.500, 0.649) and Pt at (0.500, 0.500, 0.000).

The calculation puts the total energy at -5.667 eV per atom.

=====

No. 6
A plane-wave DFT calculation with PBE was carried out for a geometry-optimized SrMgPN3 structure.

The structure belongs to space group C2/m (No. 12); the cell edges are 12.099, 3.658 and 7.156 Å and the angles 90.00°, 108.10° and 90.00°. Symmetry generates all atoms from Sr at (0.149, 0.000, 0.079), Mg at (0.150, 0.000, 0.565), P at (0.005, 0.500, 0.248), N at (0.004, 0.000, 0.280), N at (0.137, 0.500, 0.770) and N at (0.149, 0.500, 0.360).

The calculation puts the total energy at -5.895 eV per atom. The formation energy (no corrections) comes out at -27.4 kJ/mol of atoms.

=====

No. 7
A plane-wave DFT calculation with PBE was carried out for a geometry-optimized Li4TiS4 structure.

The structure belongs to space group P2_1/c (No. 14); the cell edges are 7.967, 7.800 and 11.845 Å and the angles 90.00°, 90.03° and 90.00°. Symmetry generates all atoms from Li at (0.029, 0.229, 0.124), Li at (0.033, 0.734, 0.625), Li at (0.467, 0.234, 0.125), Li at (0.471, 0.729, 0.624), Ti at (0.250, 0.000, 0.374), S at (0.014, 0.502, 0.767), S at (0.248, 0.247, 0.476), S at (0.252, 0.747, 0.976) and S at (0.485, 0.002, 0.267).

The energy above the most stable polymorph in this dataset comes out at 0.012 eV/atom. The calculation puts the total energy at -4.875 eV per atom. The formation energy (no corrections) comes out at -126.7 kJ/mol of atoms.

=====

No. 8
A plane-wave DFT calculation with PBE was carried out for a geometry-optimized VPS2I structure.

The structure belongs to space group P4/mmm (No. 123); the cell edges are 4.978, 4.978 and 5.153 Å and the angles 90.00°, 90.00° and 90.00°. Symmetry generates all atoms from V at (0.000, 0.000, 0.000), P at (0.500, 0.500, 0.000), S at (0.000, 0.500, 0.500) and I at (0.500, 0.500, 0.500).

The energy above the most stable polymorph in this dataset comes out at 1.494 eV/atom. The calculation puts the total energy at -3.272 eV per atom. The formation energy (no corrections) comes out at 153.9 kJ/mol of atoms.

=====

Copy entry 7 word for word.
A plane-wave DFT calculation with PBE was carried out for a geometry-optimized Li4TiS4 structure.

The structure belongs to space group P2_1/c (No. 14); the cell edges are 7.967, 7.800 and 11.845 Å and the angles 90.00°, 90.03° and 90.00°. Symmetry generates all atoms from Li at (0.029, 0.229, 0.124), Li at (0.033, 0.734, 0.625), Li at (0.467, 0.234, 0.125), Li at (0.471, 0.729, 0.624), Ti at (0.250, 0.000, 0.374), S at (0.014, 0.502, 0.767), S at (0.248, 0.247, 0.476), S at (0.252, 0.747, 0.976) and S at (0.485, 0.002, 0.267).

The energy above the most stable polymorph in this dataset comes out at 0.012 eV/atom. The calculation puts the total energy at -4.875 eV per atom. The formation energy (no corrections) comes out at -126.7 kJ/mol of atoms.

=====

Number 5 is which compound?
Dy2MgAl3Pt4

=====

The lowest total energy belongs to which entry?
LiW2N

=====

Which of these has the lowest total energy?
LiW2N